# 1
# PBE Pa3Al7Ni4, optimized geometry
# - E (Ha/atom) = -0.22184
# - D(E_F) (states/eV/f.u.) = 13.38
# - spin magnetization (μB/cell) = 0.0
# - energy of formation from the pure elements (kJ/mol of formula units) = -646
data_Pa3Al7Ni4
_cell_length_a 15.0737
_cell_length_b 4.0829
_cell_length_c 9.2184
_cell_angle_alpha 90.00
_cell_angle_beta 123.61
_cell_angle_gamma 90.00
_space_group_name_H-M_alt 'C 1 2/m 1'
_space_group_IT_number 12
_space_group_name_Hall '-C 2y'
loop_
_atom_site_label
_atom_site_fract_x
_atom_site_fract_y
_atom_site_fract_z
Pa1 0.0000 0.0000 0.0000
Pa2 0.1899 0.5000 0.6956
Al1 0.0000 0.0000 0.5000
Al2 0.0071 0.5000 0.2892
Al3 0.1597 0.0000 0.4269
Al4 0.1788 0.5000 0.0219
Ni1 0.1193 0.0000 0.8420
Ni2 0.1592 0.5000 0.2699

---

# 2
# PBE Np2BeCdO8, optimized geometry
# - formation energy (no corrections) (meV per atom) = -2265
# - E (Ha/atom) = -0.29820
# - D(E_F) (states/eV/f.u.) = 6.43
# - spin magnetization (μB/cell) = 4.0
data_Np2BeCdO8
_cell_length_a 6.4574
_cell_length_b 6.9372
_cell_length_c 6.8305
_cell_angle_alpha 90.00
_cell_angle_beta 90.00
_cell_angle_gamma 90.00
_space_group_name_H-M_alt 'C m m m'
_space_group_IT_number 65
_space_group_name_Hall '-C 2 2'
loop_
_atom_site_label
_atom_site_fract_x
_atom_site_fract_y
_atom_site_fract_z
Np1 0.0000 0.0000 0.2410
Be1 0.0000 0.5000 0.0000
Cd1 0.0000 0.5000 0.5000
O1 0.0000 0.1802 0.5000
O2 0.0000 0.1910 0.0000
O3 0.1950 0.5000 0.2086

---

# 3
# PBE CsRb2AsF6, optimized geometry
# - formation energy (no corrections) (meV per atom) = -2521
# - E (Ha/atom) = -0.16125
# - D(E_F) (states/eV/f.u.) = 0.00
# - spin magnetization (μB/cell) = 0.0
data_CsRb2AsF6
_cell_length_a 6.6082
_cell_length_b 6.9880
_cell_length_c 11.4763
_cell_angle_alpha 90.00
_cell_angle_beta 124.60
_cell_angle_gamma 90.00
_space_group_name_H-M_alt 'P 1 21/c 1'
_space_group_IT_number 14
_space_group_name_Hall '-P 2ybc'
loop_
_atom_site_label
_atom_site_fract_x
_atom_site_fract_y
_atom_site_fract_z
Cs1 0.0000 0.0000 0.0000
Rb1 0.2264 0.0452 0.7405
As1 0.5000 0.0000 0.5000
F1 0.2038 0.1611 0.4625
F2 0.2687 0.7403 0.9184
F3 0.4081 0.0718 0.2988

---

# 4
# PBE VCo3H, optimized geometry
# - polymorph energy (0 for the lowest one) (meV per atom) = 830
# - E (Ha/atom) = -0.22333
# - D(E_F) (states/eV/f.u.) = 5.06
# - spin magnetization (μB/cell) = 5.6
data_VCo3H
_cell_length_a 2.4204
_cell_length_b 5.0349
_cell_length_c 11.1913
_cell_angle_alpha 90.00
_cell_angle_beta 90.00
_cell_angle_gamma 90.00
_space_group_name_H-M_alt 'A m m 2'
_space_group_IT_number 38
_space_group_name_Hall 'A 2 -2'
loop_
_atom_site_label
_atom_site_fract_x
_atom_site_fract_y
_atom_site_fract_z
V1 0.0000 0.0000 0.0000
Co1 0.0000 0.2330 0.1759
Co2 0.5000 0.0000 0.8147
H1 0.5000 0.0000 0.6403